1.
Entry from Alexandria: crystalline LaTa2Si at its relaxed geometry (PBEsol).

Output
Energy (eV/atom): -8.731
D(E_F) (states/eV/atom): 0.878

Cell lengths 4.449, 4.449, 4.872 Å; angles 117.17, 117.17, 90.00 degrees
Fractional positions:
Si 0.000 0.000 0.000
La 0.500 0.500 0.000
Ta 0.250 0.750 0.500
Ta 0.750 0.250 0.500

***

2.
Entry from Alexandria: crystalline LaTa3Si at its relaxed geometry (PBEsol).

Output
Energy (eV/atom): -7.294
D(E_F) (states/eV/atom): 1.092

Cell lengths 4.853, 4.853, 4.853 Å; angles 90.00, 90.00, 90.00 degrees
Fractional positions:
Ta 0.000 0.000 0.500
Ta 0.000 0.500 0.000
Ta 0.500 0.000 0.000
Si 0.500 0.500 0.500
La 0.000 0.000 0.000

***

3.
Entry from Alexandria: crystalline LaSi2Tc at its relaxed geometry (PBEsol).

Output
Energy (eV/atom): -7.630
D(E_F) (states/eV/atom): 0.635

Cell lengths 3.897, 4.262, 5.618 Å; angles 109.32, 90.00, 117.20 degrees
Fractional positions:
Si 0.218 0.435 0.124
Si 0.782 0.565 0.876
Tc 0.500 0.000 0.000
La 0.000 0.000 0.500

***

4.
Entry from Alexandria: crystalline LaSiTc2 at its relaxed geometry (PBEsol).

Output
Energy (eV/atom): -8.236
D(E_F) (states/eV/atom): 0.803

Cell lengths 3.151, 5.145, 5.145 Å; angles 62.78, 72.17, 72.17 degrees
Fractional positions:
Si 0.000 0.500 0.500
Tc 0.276 0.724 0.724
Tc 0.724 0.276 0.276
La 0.500 0.000 0.000